# 1
{
  "formula": "CeScGa2Ni5",
  "functional": "PBE-GGA",
  "state": "relaxed",
  "lattice_angstrom": [[3.926, 0.000, 0.000], [0.000, 3.926, 0.000], [0.000, 0.000, 8.772]],
  "species": ["Ni", "Sc", "Ni", "Ga", "Ni", "Ga", "Ni", "Ce", "Ni"],
  "frac_coords": [[0.000, 0.500, 0.712], [0.000, 0.000, 0.000], [0.500, 0.000, 0.712], [0.500, 0.500, 0.861], [0.500, 0.000, 0.288], [0.500, 0.500, 0.139], [0.000, 0.500, 0.288], [0.000, 0.000, 0.500], [0.500, 0.500, 0.500]],
  "space_group": "No. 123"
}

---

# 2
{
  "formula": "Ba2ZrIn",
  "functional": "PBE-GGA",
  "state": "relaxed",
  "lattice_angstrom": [[-4.323, 3.318, 3.590], [-3.456, -3.691, 4.126], [6.347, 0.681, -1.357]],
  "species": ["In", "Ba", "Ba", "Zr"],
  "frac_coords": [[0.750, 0.250, 0.500], [0.000, 0.000, 0.000], [0.500, 0.500, 0.000], [0.250, 0.750, 0.500]],
  "space_group": "No. 139"
}

---

# 3
{
  "formula": "MgCdOs",
  "functional": "PBE-GGA",
  "state": "relaxed",
  "lattice_angstrom": [[4.506, 0.000, 0.000], [2.253, 3.902, 0.000], [2.253, 1.301, 3.679]],
  "species": ["Cd", "Mg", "Os"],
  "frac_coords": [[0.000, 0.000, 0.000], [0.500, 0.500, 0.500], [0.250, 0.250, 0.250]],
  "e_above_lowest_polymorph_mev_per_atom": 509,
  "space_group": "No. 216"
}

---

# 4
{
  "formula": "Ti3Cu4Ni2",
  "functional": "PBE-GGA",
  "state": "relaxed",
  "lattice_angstrom": [[4.467, 0.104, 0.426], [0.613, 7.064, 2.434], [0.306, -0.440, 7.477]],
  "species": ["Ti", "Cu", "Ti", "Ti", "Ti", "Cu", "Ni", "Cu", "Cu", "Ni", "Cu", "Ni", "Ti", "Ti", "Cu", "Cu", "Ni", "Cu"],
  "frac_coords": [[0.250, 0.385, 0.615], [0.871, 0.399, 0.156], [0.420, 0.297, 0.036], [0.750, 0.615, 0.385], [0.920, 0.036, 0.297], [0.972, 0.185, 0.926], [0.809, 0.261, 0.513], [0.129, 0.601, 0.844], [0.472, 0.926, 0.185], [0.691, 0.487, 0.739], [0.629, 0.844, 0.601], [0.191, 0.739, 0.487], [0.080, 0.964, 0.703], [0.580, 0.703, 0.964], [0.528, 0.074, 0.815], [0.028, 0.815, 0.074], [0.309, 0.513, 0.261], [0.371, 0.156, 0.399]],
  "space_group": "No. 15"
}

---

| no. | DFT formation energy (eV/atom) | total magnetic moment (μB/cell) |
| --- | --- | --- |
| 1 | -0.372 | 0.00 |
| 2 | 0.291 | 0.76 |
| 3 | 0.854 | 1.10 |
| 4 | -0.139 | 0.00 |